1.
The following is a PBE-GGA calculation of an optimized crystal structure of InHg2Cl2, from Alexandria.

a = 8.674 Å, b = 8.674 Å, c = 5.028 Å
α = 90.00°, β = 90.00°, γ = 90.00°
Fractional positions:
Hg 0.886 0.386 0.500
Hg 0.614 0.886 0.500
Cl 0.764 0.264 0.000
In 0.000 0.000 0.000
Cl 0.236 0.736 0.000
Cl 0.264 0.236 0.000
Cl 0.736 0.764 0.000
Hg 0.114 0.614 0.500
Hg 0.386 0.114 0.500
In 0.500 0.500 0.000

Properties
DOS at the Fermi energy = 0.255 states/eV per atom
mass density = 5.2 Mg/m³
energy = -1.73 eV/atom

---

2.
The following is a PBE-GGA calculation of an optimized crystal structure of Nd3MgB2N6, from Alexandria.

a = 5.484 Å, b = 5.484 Å, c = 6.176 Å
α = 90.00°, β = 90.00°, γ = 120.00°
Fractional positions:
Mg 0.000 0.000 0.500
N 0.818 0.182 0.717
B 0.667 0.333 0.749
Nd 0.667 0.333 0.342
N 0.182 0.364 0.283
B 0.333 0.667 0.251
N 0.818 0.636 0.717
N 0.636 0.818 0.283
Nd 0.333 0.667 0.658
Nd 0.000 0.000 0.000
N 0.364 0.182 0.717
N 0.182 0.818 0.283

Properties
DOS at the Fermi energy = 0.354 states/eV per atom
mass density = 5.8 Mg/m³
energy = -7.62 eV/atom

---

3.
The following is a PBE-GGA calculation of an optimized crystal structure of Ac12ScGe7, from Alexandria.

a = 9.818 Å, b = 9.818 Å, c = 9.818 Å
α = 107.36°, β = 107.36°, γ = 107.36°
Fractional positions:
Ac 0.624 0.542 0.851
Ge 0.030 0.328 0.109
Ac 0.315 0.774 0.924
Ac 0.924 0.315 0.774
Sc 0.000 0.000 0.000
Ac 0.851 0.624 0.542
Ge 0.500 0.500 0.500
Ac 0.076 0.685 0.226
Ac 0.149 0.376 0.458
Ge 0.672 0.891 0.970
Ge 0.970 0.672 0.891
Ac 0.774 0.924 0.315
Ac 0.542 0.851 0.624
Ge 0.891 0.970 0.672
Ac 0.458 0.149 0.376
Ac 0.376 0.458 0.149
Ge 0.109 0.030 0.328
Ge 0.328 0.109 0.030
Ac 0.685 0.226 0.076
Ac 0.226 0.076 0.685

Properties
energy relative to the elements = -0.381 eV/atom
DOS at the Fermi energy = 1.177 states/eV per atom
mass density = 7.0 Mg/m³

---

4.
The following is a PBE-GGA calculation of an optimized crystal structure of K2Ag2AsSe4, from Alexandria.

a = 4.094 Å, b = 8.125 Å, c = 7.889 Å
α = 110.24°, β = 90.00°, γ = 104.59°
Fractional positions:
Ag 0.685 0.370 0.974
Se 0.491 0.982 0.231
K 0.132 0.265 0.566
Se 0.187 0.374 0.193
Ag 0.315 0.630 0.026
As 0.000 0.000 0.000
Se 0.509 0.018 0.769
K 0.868 0.735 0.434
Se 0.813 0.626 0.807

Properties
DOS at the Fermi energy = 0.681 states/eV per atom
mass density = 4.8 Mg/m³
energy = -3.39 eV/atom

---

5.
The following is a PBE-GGA calculation of an optimized crystal structure of Ac2Pt5Au5, from Alexandria.

a = 4.530 Å, b = 5.642 Å, c = 9.759 Å
α = 90.00°, β = 90.00°, γ = 90.00°
Fractional positions:
Pt 0.500 0.749 0.748
Pt 0.500 0.251 0.748
Pt 0.500 0.251 0.252
Au 0.000 0.000 0.828
Ac 0.000 0.500 0.000
Au 0.000 0.500 0.332
Pt 0.500 0.500 0.500
Au 0.000 0.000 0.172
Au 0.500 0.000 0.000
Au 0.000 0.500 0.668
Pt 0.500 0.749 0.252
Ac 0.000 0.000 0.500

Properties
energy relative to the elements = -0.645 eV/atom
DOS at the Fermi energy = 0.538 states/eV per atom
mass density = 16.1 Mg/m³

---

6.
The following is a PBE-GGA calculation of an optimized crystal structure of SrInSe2Br, from Alexandria.

a = 5.948 Å, b = 5.917 Å, c = 5.948 Å
α = 90.00°, β = 90.00°, γ = 90.00°
Fractional positions:
Se 0.000 0.000 0.500
Sr 0.000 0.000 0.000
Se 0.500 0.000 0.000
In 0.500 0.500 0.500
Br 0.000 0.500 0.000

Properties
DOS at the Fermi energy = 1.015 states/eV per atom
mass density = 3.5 Mg/m³
energy = -3.11 eV/atom

---

7.
The following is a PBE-GGA calculation of an optimized crystal structure of Tb2PrBr, from Alexandria.

a = 3.517 Å, b = 3.517 Å, c = 11.750 Å
α = 81.39°, β = 81.39°, γ = 60.00°
Fractional positions:
Pr 0.000 0.000 0.000
Br 0.500 0.500 0.500
Tb 0.901 0.901 0.296
Tb 0.099 0.099 0.704

Properties
DOS at the Fermi energy = 1.633 states/eV per atom
mass density = 7.2 Mg/m³
energy = -4.20 eV/atom

---

8.
The following is a PBE-GGA calculation of an optimized crystal structure of TlTeI, from Alexandria.

a = 4.324 Å, b = 7.127 Å, c = 10.929 Å
α = 52.24°, β = 90.01°, γ = 90.01°
Fractional positions:
Te 0.312 0.249 0.496
Tl 0.812 0.171 0.259
I 0.812 0.703 0.224
I 0.312 0.455 0.949
Tl 0.312 0.987 0.914
Te 0.812 0.909 0.677

Properties
DOS at the Fermi energy = 0.030 states/eV per atom
mass density = 5.7 Mg/m³
energy = -2.69 eV/atom

---

9.
The following is a PBE-GGA calculation of an optimized crystal structure of GeTeAu, from Alexandria.

a = 7.012 Å, b = 6.940 Å, c = 7.661 Å
α = 122.68°, β = 90.00°, γ = 90.00°
Fractional positions:
Ge 0.851 0.749 0.822
Ge 0.649 0.249 0.822
Te 0.635 0.514 0.254
Te 0.135 0.986 0.746
Te 0.365 0.486 0.746
Au 0.025 0.631 0.238
Te 0.865 0.014 0.254
Au 0.975 0.369 0.762
Ge 0.149 0.251 0.178
Au 0.525 0.869 0.762
Au 0.475 0.131 0.238
Ge 0.351 0.751 0.178

Properties
DOS at the Fermi energy = 0.350 states/eV per atom
mass density = 8.4 Mg/m³
energy = -3.73 eV/atom

---

10.
The following is a PBE-GGA calculation of an optimized crystal structure of NaLiGa2, from Alexandria.

a = 3.074 Å, b = 3.074 Å, c = 9.892 Å
α = 81.06°, β = 81.06°, γ = 60.00°
Fractional positions:
Na 0.500 0.500 0.500
Li 0.000 0.000 0.000
Ga 0.257 0.257 0.229
Ga 0.743 0.743 0.771

Properties
energy relative to the elements = -0.040 eV/atom
DOS at the Fermi energy = 0.577 states/eV per atom
mass density = 3.5 Mg/m³

---

11.
The following is a PBE-GGA calculation of an optimized crystal structure of U3Tl4NiSe8, from Alexandria.

a = 8.092 Å, b = 9.208 Å, c = 8.092 Å
α = 116.06°, β = 120.00°, γ = 90.00°
Fractional positions:
Se 0.775 0.304 0.029
Se 0.225 0.696 0.450
U 0.000 0.500 0.500
Ni 0.000 0.500 0.000
Tl 0.500 0.000 0.500
Se 0.225 0.696 0.971
Se 0.254 0.304 0.029
Se 0.263 0.290 0.526
Tl 0.500 0.000 0.000
Se 0.746 0.696 0.971
Tl 0.000 0.000 0.500
Se 0.737 0.710 0.474
Tl 0.000 0.000 0.000
U 0.500 0.500 0.000
U 0.500 0.500 0.500
Se 0.775 0.304 0.550

Properties
DOS at the Fermi energy = 1.013 states/eV per atom
mass density = 8.2 Mg/m³
energy = -5.54 eV/atom

---

12.
The following is a PBE-GGA calculation of an optimized crystal structure of SmAgTe2, from Alexandria.

a = 4.334 Å, b = 4.334 Å, c = 7.782 Å
α = 73.83°, β = 73.83°, γ = 60.00°
Fractional positions:
Te 0.255 0.255 0.236
Te 0.078 0.078 0.765
Ag 0.666 0.666 0.002
Sm 0.501 0.501 0.497

Properties
mass density = 7.1 Mg/m³
energy = -4.27 eV/atom